No. 1
VASP calculation (PBE-GGA) on an optimized crystal structure of Rb2TiIrI.

Summary:
The calculation puts the uncorrected formation energy at 1108.2 meV/atom. The total magnetization is 1.959 μB/f.u. The calculation puts the calculated density at 3.65 g/cm3.

Cell lengths 6.770, 6.770, 5.335 Å; angles 90.00, 90.00, 90.00 degrees
Space group P4/mmm (No. 123)
One atom of each set of equivalent atoms:
Rb 0.000 0.500 0.000 (multiplicity 2)
Ti 0.000 0.000 0.500 (multiplicity 1)
Ir 0.500 0.500 0.500 (multiplicity 1)
I 0.000 0.000 0.000 (multiplicity 1)

---

No. 2
VASP calculation (PBE-GGA) on an optimized crystal structure of BaC3Br.

Summary:
The calculation puts the uncorrected formation energy at 2685.0 meV/atom. The total magnetization is 0.000 μB/f.u. The calculation puts the calculated density at 4.90 g/cm3.

Cell lengths 4.412, 4.412, 4.412 Å; angles 90.00, 90.00, 90.00 degrees
Space group Pm-3m (No. 221)
One atom of each set of equivalent atoms:
Ba 0.000 0.000 0.000 (multiplicity 1)
C 0.000 0.500 0.500 (multiplicity 3)
Br 0.500 0.500 0.500 (multiplicity 1)

---

No. 3
VASP calculation (PBE-GGA) on an optimized crystal structure of NaCd2H8Rh3.

Summary:
The total magnetization is 0.000 μB/f.u. The calculation puts the calculated density at 6.60 g/cm3.

Cell lengths 5.8746, 5.8746, 14.2641 Å; angles 90.00, 90.00, 120.00 degrees
Space group R3m (No. 160, hexagonal axes)
One atom of each set of equivalent atoms:
Na 0.0000 0.0000 0.0000 (multiplicity 3)
Cd 0.0000 0.0000 0.2680 (multiplicity 3)
Cd 0.0000 0.0000 0.6219 (multiplicity 3)
H 0.0000 0.0000 0.4116 (multiplicity 3)
H 0.0000 0.0000 0.8472 (multiplicity 3)
H 0.0035 0.5017 0.8270 (multiplicity 9)
H 0.0392 0.5196 0.4096 (multiplicity 9)
Rh 0.1672 0.3345 0.4592 (multiplicity 9)

---

No. 4
VASP calculation (PBE-GGA) on an optimized crystal structure of TlCu4Ag3I12.

Summary:
The calculation puts the uncorrected formation energy at -129.0 meV/atom. The total magnetization is 0.000 μB/f.u. The calculation puts the calculated density at 4.91 g/cm3.

Cell lengths 15.2026, 15.2026, 11.6764 Å; angles 90.00, 90.00, 120.00 degrees
Space group R32 (No. 155, hexagonal axes)
One atom of each set of equivalent atoms:
Tl 0.0000 0.0000 0.0000 (multiplicity 3)
Cu 0.0000 0.0000 0.5000 (multiplicity 3)
Cu 0.0000 0.4205 0.5000 (multiplicity 9)
Ag 0.0000 0.5665 0.0000 (multiplicity 9)
I 0.0000 0.5875 0.5000 (multiplicity 9)
I 0.0000 0.8349 0.5000 (multiplicity 9)
I 0.0500 0.2057 0.1920 (multiplicity 18)

---

No. 5
VASP calculation (PBE-GGA) on an optimized crystal structure of Tb3AlTl3S8.

Summary:
The calculation puts the uncorrected formation energy at -1284.0 meV/atom. The total magnetization is 0.000 μB/f.u. The calculation puts the calculated density at 5.72 g/cm3.

Cell lengths 13.702, 7.909, 8.670 Å; angles 90.00, 121.88, 90.00 degrees
Space group C2/m (No. 12)
One atom of each set of equivalent atoms:
Tb 0.000 0.000 0.000 (multiplicity 2)
Tb 0.250 0.250 0.000 (multiplicity 4)
Al 0.000 0.500 0.000 (multiplicity 2)
Tl 0.000 0.500 0.500 (multiplicity 2)
Tl 0.250 0.250 0.500 (multiplicity 4)
S 0.013 0.273 0.811 (multiplicity 8)
S 0.214 0.500 0.189 (multiplicity 4)
S 0.235 0.000 0.204 (multiplicity 4)

---

No. 6
VASP calculation (PBE-GGA) on an optimized crystal structure of ThZrIn.

Summary:
The total magnetization is 0.000 μB/f.u. The calculation puts the calculated density at 9.21 g/cm3.

Cell lengths 3.308, 3.308, 14.435 Å; angles 90.00, 90.00, 90.00 degrees
Space group I4mm (No. 107)
One atom of each set of equivalent atoms:
Th 0.000 0.000 0.000 (multiplicity 2)
Zr 0.000 0.000 0.328 (multiplicity 2)
In 0.000 0.000 0.678 (multiplicity 2)

---

No. 7
VASP calculation (PBE-GGA) on an optimized crystal structure of CaFeCl2.

Summary:
The calculation puts the uncorrected formation energy at -707.5 meV/atom. The total magnetization is 2.456 μB/f.u. The calculation puts the calculated density at 3.00 g/cm3.

Cell lengths 3.524, 3.721, 14.067 Å; angles 90.00, 90.00, 90.00 degrees
Space group Imm2 (No. 44)
One atom of each set of equivalent atoms:
Ca 0.000 0.000 0.000 (multiplicity 2)
Fe 0.000 0.500 0.670 (multiplicity 2)
Cl 0.000 0.000 0.411 (multiplicity 2)
Cl 0.000 0.500 0.161 (multiplicity 2)

---

No. 8
VASP calculation (PBE-GGA) on an optimized crystal structure of Tb4TlIn2.

Summary:
The total magnetization is 0.000 μB/f.u. The calculation puts the calculated density at 8.53 g/cm3.

Cell lengths 5.2802, 5.2802, 25.8730 Å; angles 90.00, 90.00, 120.00 degrees
Space group R-3m (No. 166, hexagonal axes)
One atom of each set of equivalent atoms:
Tb 0.0000 0.0000 0.1193 (multiplicity 6)
Tb 0.0000 0.0000 0.3717 (multiplicity 6)
Tl 0.0000 0.0000 0.5000 (multiplicity 3)
In 0.0000 0.0000 0.2509 (multiplicity 6)

---

No. 9
VASP calculation (PBE-GGA) on an optimized crystal structure of CrBPAuI.

Summary:
The calculation puts the uncorrected formation energy at 203.9 meV/atom. The total magnetization is 2.983 μB/f.u. The calculation puts the calculated density at 5.99 g/cm3.

Cell lengths 17.014, 3.255, 4.277 Å; angles 90.00, 102.27, 90.00 degrees
Space group Cm (No. 8)
One atom of each set of equivalent atoms:
Cr 0.000 0.000 0.000 (multiplicity 2)
B 0.091 0.500 0.079 (multiplicity 2)
P 0.151 0.000 0.187 (multiplicity 2)
Au 0.042 0.500 0.541 (multiplicity 2)
I 0.343 0.500 0.858 (multiplicity 2)

---

No. 10
VASP calculation (PBE-GGA) on an optimized crystal structure of Mn2AgSe.

Summary:
The calculation puts the uncorrected formation energy at 161.2 meV/atom. The total magnetization is 3.420 μB/f.u. The calculation puts the calculated density at 7.55 g/cm3.

Cell lengths 2.903, 2.903, 7.745 Å; angles 90.00, 90.00, 90.00 degrees
Space group P4mm (No. 99)
One atom of each set of equivalent atoms:
Mn 0.000 0.000 0.000 (multiplicity 1)
Mn 0.500 0.500 0.212 (multiplicity 1)
Ag 0.500 0.500 0.748 (multiplicity 1)
Se 0.000 0.000 0.379 (multiplicity 1)

---

No. 11
VASP calculation (PBE-GGA) on an optimized crystal structure of LaBeZnHRhS.

Summary:
The total magnetization is 0.000 μB/f.u. The calculation puts the calculated density at 5.34 g/cm3.

Cell lengths 7.758, 3.853, 7.469 Å; angles 90.00, 103.52, 90.00 degrees
Space group Cm (No. 8)
One atom of each set of equivalent atoms:
La 0.000 0.000 0.000 (multiplicity 2)
Be 0.242 0.000 0.706 (multiplicity 2)
Zn 0.306 0.500 0.533 (multiplicity 2)
H 0.041 0.000 0.688 (multiplicity 2)
Rh 0.047 0.500 0.704 (multiplicity 2)
S 0.236 0.500 0.216 (multiplicity 2)

---

No. 12
VASP calculation (PBE-GGA) on an optimized crystal structure of Tb2ErIr9.

Summary:
The total magnetization is 0.000 μB/f.u. The calculation puts the calculated density at 17.16 g/cm3.

Cell lengths 5.3026, 5.3026, 26.4144 Å; angles 90.00, 90.00, 120.00 degrees
Space group R-3m (No. 166, hexagonal axes)
One atom of each set of equivalent atoms:
Tb 0.0000 0.0000 0.1391 (multiplicity 6)
Er 0.0000 0.0000 0.0000 (multiplicity 3)
Ir 0.0000 0.0000 0.3327 (multiplicity 6)
Ir 0.0000 0.0000 0.5000 (multiplicity 3)
Ir 0.0010 0.5005 0.0818 (multiplicity 18)

---

No. 13
VASP calculation (PBE-GGA) on an optimized crystal structure of KBe2Os.

Summary:
The total magnetization is 0.314 μB/f.u. The calculation puts the calculated density at 6.74 g/cm3.

Cell lengths 3.714, 3.714, 8.839 Å; angles 90.00, 90.00, 90.00 degrees
Space group I-4m2 (No. 119)
One atom of each set of equivalent atoms:
K 0.000 0.000 0.000 (multiplicity 2)
Be 0.000 0.000 0.500 (multiplicity 2)
Be 0.000 0.500 0.250 (multiplicity 2)
Os 0.000 0.500 0.750 (multiplicity 2)

---

No. 14
VASP calculation (PBE-GGA) on an optimized crystal structure of CaPd4Pb2.

Summary:
The total magnetization is 0.000 μB/f.u. The calculation puts the calculated density at 10.03 g/cm3.

Cell lengths 8.019, 8.019, 4.531 Å; angles 90.00, 90.00, 90.00 degrees
Space group P4_2/mnm (No. 136)
One atom of each set of equivalent atoms:
Ca 0.000 0.000 0.000 (multiplicity 2)
Pd 0.103 0.359 0.500 (multiplicity 8)
Pb 0.210 0.790 0.500 (multiplicity 4)

---

No. 15
VASP calculation (PBE-GGA) on an optimized crystal structure of LiBeBIr.

Summary:
The total magnetization is 0.000 μB/f.u. The calculation puts the calculated density at 9.39 g/cm3.

Cell lengths 5.370, 5.370, 5.370 Å; angles 90.00, 90.00, 90.00 degrees
Space group F-43m (No. 216)
One atom of each set of equivalent atoms:
Li 0.000 0.000 0.000 (multiplicity 4)
Be 0.250 0.250 0.750 (multiplicity 4)
B 0.250 0.250 0.250 (multiplicity 4)
Ir 0.000 0.000 0.500 (multiplicity 4)

---

No. 16
VASP calculation (PBE-GGA) on an optimized crystal structure of LaMn2W.

Summary:
The total magnetization is 3.966 μB/f.u. The calculation puts the calculated density at 8.89 g/cm3.

Cell lengths 7.348, 7.348, 5.985 Å; angles 90.00, 90.00, 90.00 degrees
Space group I-42d (No. 122)
One atom of each set of equivalent atoms:
La 0.000 0.000 0.000 (multiplicity 4)
Mn 0.195 0.750 0.625 (multiplicity 8)
W 0.000 0.000 0.500 (multiplicity 4)

---

No. 17
VASP calculation (PBE-GGA) on an optimized crystal structure of TaGa.

Summary:
The total magnetization is 0.000 μB/f.u. The calculation puts the calculated density at 12.63 g/cm3.

Cell lengths 7.992, 6.579, 5.013 Å; angles 90.00, 90.00, 90.00 degrees
Space group Cmcm (No. 63)
One atom of each set of equivalent atoms:
Ta 0.191 0.165 0.250 (multiplicity 8)
Ga 0.000 0.159 0.750 (multiplicity 4)
Ga 0.000 0.500 0.000 (multiplicity 4)

---

No. 18
VASP calculation (PBE-GGA) on an optimized crystal structure of PaTi3Bi.

Summary:
The total magnetization is 0.000 μB/f.u. The calculation puts the calculated density at 9.42 g/cm3.

Cell lengths 10.616, 10.748, 7.850 Å; angles 90.00, 113.27, 90.00 degrees
Space group C2/c (No. 15)
One atom of each set of equivalent atoms:
Pa 0.108 0.182 0.181 (multiplicity 8)
Ti 0.118 0.328 0.637 (multiplicity 8)
Ti 0.198 0.090 0.560 (multiplicity 8)
Ti 0.200 0.378 0.044 (multiplicity 8)
Bi 0.000 0.096 0.750 (multiplicity 4)
Bi 0.000 0.453 0.250 (multiplicity 4)

---

No. 19
VASP calculation (PBE-GGA) on an optimized crystal structure of Sm4As2SBr.

Summary:
The calculation puts the uncorrected formation energy at -1584.5 meV/atom. The total magnetization is 0.000 μB/f.u. The calculation puts the calculated density at 6.93 g/cm3.

Cell lengths 7.200, 4.166, 7.303 Å; angles 90.00, 109.25, 90.00 degrees
Space group P2/m (No. 10)
One atom of each set of equivalent atoms:
Sm 0.229 0.000 0.226 (multiplicity 2)
Sm 0.240 0.500 0.763 (multiplicity 2)
As 0.000 0.000 0.500 (multiplicity 1)
As 0.000 0.500 0.000 (multiplicity 1)
S 0.500 0.000 0.000 (multiplicity 1)
Br 0.500 0.500 0.500 (multiplicity 1)

---

No. 20
VASP calculation (PBE-GGA) on an optimized crystal structure of LaMnTl2.

Summary:
The total magnetization is 3.916 μB/f.u. The calculation puts the calculated density at 9.34 g/cm3.

Cell lengths 4.741, 4.741, 9.530 Å; angles 90.00, 90.00, 90.00 degrees
Space group I-4m2 (No. 119)
One atom of each set of equivalent atoms:
La 0.000 0.000 0.000 (multiplicity 2)
Mn 0.000 0.500 0.750 (multiplicity 2)
Tl 0.000 0.000 0.500 (multiplicity 2)
Tl 0.000 0.500 0.250 (multiplicity 2)

---

No. 21
VASP calculation (PBE-GGA) on an optimized crystal structure of PmSm2Ag3Se6.

Summary:
The calculation puts the uncorrected formation energy at -1161.4 meV/atom. The total magnetization is 0.000 μB/f.u. The calculation puts the calculated density at 6.80 g/cm3.

Cell lengths 17.801, 4.272, 8.068 Å; angles 90.00, 98.39, 90.00 degrees
Space group C2/m (No. 12)
One atom of each set of equivalent atoms:
Pm 0.000 0.000 0.000 (multiplicity 2)
Sm 0.167 0.500 0.333 (multiplicity 4)
Ag 0.000 0.000 0.500 (multiplicity 2)
Ag 0.167 0.500 0.831 (multiplicity 4)
Se 0.000 0.500 0.253 (multiplicity 4)
Se 0.166 0.000 0.584 (multiplicity 4)
Se 0.167 0.000 0.082 (multiplicity 4)

---

No. 22
VASP calculation (PBE-GGA) on an optimized crystal structure of AlZn2Ga.

Summary:
The total magnetization is 0.000 μB/f.u. The calculation puts the calculated density at 5.27 g/cm3.

Cell lengths 4.2124, 4.2124, 13.9970 Å; angles 90.00, 90.00, 120.00 degrees
Space group R3m (No. 160, hexagonal axes)
One atom of each set of equivalent atoms:
Al 0.0000 0.0000 0.0000 (multiplicity 3)
Zn 0.0000 0.0000 0.5912 (multiplicity 3)
Zn 0.0000 0.0000 0.7758 (multiplicity 3)
Ga 0.0000 0.0000 0.1944 (multiplicity 3)

---

No. 23
VASP calculation (PBE-GGA) on an optimized crystal structure of Er2ScAs3.

Summary:
The total magnetization is 0.000 μB/f.u. The calculation puts the calculated density at 7.28 g/cm3.

Cell lengths 4.025, 4.025, 17.026 Å; angles 90.00, 90.00, 90.00 degrees
Space group I4/mmm (No. 139)
One atom of each set of equivalent atoms:
Er 0.000 0.000 0.166 (multiplicity 4)
Sc 0.000 0.000 0.500 (multiplicity 2)
As 0.000 0.000 0.000 (multiplicity 2)
As 0.000 0.000 0.337 (multiplicity 4)

---

Number 1: uncorrected energy -14.7 eV per formula unit. Number 2: uncorrected energy -17.8 eV per formula unit. Number 3: uncorrected energy -52.9 eV per formula unit. Number 4: uncorrected energy -48.5 eV per formula unit. Number 5: uncorrected energy -77.0 eV per formula unit. Number 6: uncorrected energy -19.1 eV per formula unit. Number 7: uncorrected energy -17.0 eV per formula unit. Number 8: uncorrected energy -28.3 eV per formula unit. Number 9: uncorrected energy -25.5 eV per formula unit. Number 10: uncorrected energy -24.0 eV per formula unit. Number 11: uncorrected energy -28.2 eV per formula unit. Number 12: uncorrected energy -100.5 eV per formula unit. Number 13: uncorrected energy -13.8 eV per formula unit. Number 14: uncorrected energy -32.8 eV per formula unit. Number 15: uncorrected energy -21.7 eV per formula unit. Number 16: uncorrected energy -32.9 eV per formula unit. Number 17: uncorrected energy -15.2 eV per formula unit. Number 18: uncorrected energy -36.8 eV per formula unit. Number 19: uncorrected energy -46.7 eV per formula unit. Number 20: uncorrected energy -18.4 eV per formula unit. Number 21: uncorrected energy -57.6 eV per formula unit. Number 22: uncorrected energy -8.9 eV per formula unit. Number 23: uncorrected energy -38.1 eV per formula unit.